Here is crystalline CrCdCo2 at its relaxed geometry from Alexandria. Energies are from GGA-PBEsol.

```
4
Lattice="4.2788 -1.3228 0.0000 4.2788 1.3228 0.0000 -0.9593 0.0000 4.4577" Properties=species:S:1:pos:R:3 pbc="T T T"
Cr 0.0000 0.0000 0.0000
Cd 1.3419 0.0000 2.9550
Co 3.6297 0.0000 1.7751
Co 6.1143 0.0000 0.7033
```

Results
* calculated density: 9.3 Mg/m³
* energy of formation: 0.408 eV per atom

---

Here is crystalline TaCo at its relaxed geometry from Alexandria. Energies are from GGA-PBEsol.

```
4
Lattice="1.8581 -2.0123 0.0000 1.8581 2.0123 0.0000 0.0000 0.0000 7.4924" Properties=species:S:1:pos:R:3 pbc="T T T"
Ta 1.8581 1.0061 6.3311
Ta 1.8581 -1.0061 1.1613
Co 1.8581 1.0061 3.0653
Co 1.8581 -1.0061 4.4270
```

Results
* calculated density: 14.2 Mg/m³
* energy of formation: 0.037 eV per atom

---

Here is crystalline TlCdBi2 at its relaxed geometry from Alexandria. Energies are from GGA-PBEsol.

```
4
Lattice="0.0000 3.8167 3.8167 3.8167 0.0000 3.8167 3.8167 3.8167 0.0000" Properties=species:S:1:pos:R:3 pbc="T T T"
Tl 0.0000 0.0000 0.0000
Cd 3.8167 3.8167 3.8167
Bi 1.9084 1.9084 1.9084
Bi 5.7251 5.7251 5.7251
```

Results
* calculated density: 11.0 Mg/m³
* energy of formation: 0.087 eV per atom

---

Here is crystalline Li2InBi2 at its relaxed geometry from Alexandria. Energies are from GGA-PBEsol.

```
10
Lattice="8.7459 0.0000 0.0000 0.0000 8.7459 0.0000 0.0000 0.0000 3.1725" Properties=species:S:1:pos:R:3 pbc="T T T"
Li 1.1096 3.2633 0.0000
Li 3.2633 7.6363 0.0000
Li 5.4826 1.1096 0.0000
Li 7.6363 5.4826 0.0000
In 0.0000 0.0000 1.5863
In 4.3730 4.3730 1.5863
Bi 1.4747 5.8477 1.5863
Bi 2.8983 1.4747 1.5863
Bi 5.8477 7.2713 1.5863
Bi 7.2713 2.8983 1.5863
```

Results
* calculated density: 7.5 Mg/m³
* energy of formation: -0.272 eV per atom

---

Here is crystalline V6Cu2O15 at its relaxed geometry from Alexandria. Energies are from GGA-PBEsol.

```
23
Lattice="3.6308 0.0000 0.0000 -1.7986 7.5229 0.0000 -0.0864 -2.7767 9.6027" Properties=species:S:1:pos:R:3 pbc="T T T"
V 0.0029 1.3796 1.1273
V -0.0360 3.1847 3.9112
V 0.0137 4.7326 0.8840
V 1.7321 0.0136 8.7187
V 1.7818 1.5615 5.6915
V 1.7429 3.3666 8.4754
Cu 1.4891 -0.4697 3.3715
Cu 0.2567 5.2159 6.2312
O 0.0000 0.0000 0.0000
O 0.0341 0.6900 2.6451
O -0.0791 0.1826 9.1721
O -0.0358 2.0609 5.5218
O -0.0104 3.2979 2.1221
O -0.0740 2.9910 8.8017
O -0.0237 4.7376 4.4674
O 0.0142 5.9427 1.9747
O 1.7316 -1.1965 7.6280
O 1.7696 0.0087 5.1353
O 1.8198 1.7553 0.8010
O 1.7562 1.4483 7.4807
O 1.7817 2.6854 4.0809
O 1.8249 4.5637 0.4307
O 1.7118 4.0562 6.9576
```

Results
* energy relative to the elements, uncorrected: -2094 meV per atom
* calculated density: 4.3 Mg/m³

---

Here is crystalline AsH2S at its relaxed geometry from Alexandria. Energies are from GGA-PBEsol.

```
4
Lattice="0.0000 2.6802 2.6802 2.6802 0.0000 2.6802 2.6802 2.6802 0.0000" Properties=species:S:1:pos:R:3 pbc="T T T"
As 0.0000 0.0000 0.0000
H 1.3401 1.3401 1.3401
H 4.0203 4.0203 4.0203
S 2.6802 2.6802 2.6802
```

Results
* calculated density: 4.7 Mg/m³
* electronic total energy: -0.118 Ha/atom

---

Here is crystalline Sr2CrSi at its relaxed geometry from Alexandria. Energies are from GGA-PBEsol.

```
4
Lattice="3.5071 0.0000 0.0000 0.0000 4.3346 0.0000 0.0000 0.0000 7.2236" Properties=species:S:1:pos:R:3 pbc="T T T"
Sr 0.0000 0.0000 1.6564
Sr 0.0000 0.0000 5.5672
Cr 1.7535 2.1673 3.6118
Si 1.7535 2.1673 0.0000
```

Results
* energy relative to the elements, uncorrected: 385 meV per atom
* calculated density: 3.9 Mg/m³

---

Here is crystalline AcTlAu2 at its relaxed geometry from Alexandria. Energies are from GGA-PBEsol.

```
4
Lattice="0.0000 3.6661 3.6661 3.6661 0.0000 3.6661 3.6661 3.6661 0.0000" Properties=species:S:1:pos:R:3 pbc="T T T"
Ac 0.0000 0.0000 0.0000
Tl 3.6661 3.6661 3.6661
Au 1.8331 1.8331 1.8331
Au 5.4992 5.4992 5.4992
```

Results
* calculated density: 13.9 Mg/m³
* energy of formation: -0.565 eV per atom

---

Here is crystalline TlMoPO6 at its relaxed geometry from Alexandria. Energies are from GGA-PBEsol.

```
36
Lattice="0.0000 6.2499 7.8453 5.4629 0.0000 7.8453 5.4629 6.2499 0.0000" Properties=species:S:1:pos:R:3 pbc="T T T"
Tl 7.2755 4.6874 5.8840
Tl 10.0070 7.8124 9.8067
Tl 0.9189 4.6874 5.8840
Tl 3.6504 7.8124 9.8067
Mo 4.0972 1.9503 5.8840
Mo 6.8287 5.0753 9.8067
Mo 4.0972 7.4246 5.8840
Mo 6.8287 10.5495 9.8067
P 4.0972 4.6874 3.8217
P 6.8287 7.8124 7.7444
P 4.0972 4.6874 7.9463
P 6.8287 7.8124 11.8689
O 5.0998 3.9591 2.8626
O 3.5245 0.8695 4.7038
O 4.6699 0.8695 7.0642
O 7.4014 3.9944 8.6264
O 3.3741 3.6293 4.6503
O 4.8203 3.6293 7.1177
O 4.8203 5.7456 4.6503
O 3.0947 5.4158 2.8626
O 7.5518 6.7542 8.5730
O 7.8312 8.5407 6.7853
O 6.2560 3.9944 10.9869
O 5.8261 7.0841 6.7853
O 5.0998 5.4158 8.9054
O 4.6699 8.5054 4.7038
O 3.0947 3.9591 8.9054
O 3.3741 5.7456 7.1177
O 7.8312 7.0841 12.8280
O 6.1056 6.7542 11.0404
O 6.1056 8.8706 8.5730
O 7.5518 8.8706 11.0404
O 3.5245 8.5054 7.0642
O 6.2560 11.6304 8.6264
O 7.4014 11.6304 10.9869
O 5.8261 8.5407 12.8280
```

Results
* energy relative to the elements, uncorrected: -1915 meV per atom
* calculated density: 5.3 Mg/m³

---

Here is crystalline Zn2CoRe at its relaxed geometry from Alexandria. Energies are from GGA-PBEsol.

```
4
Lattice="0.0000 2.9448 2.9448 2.9448 0.0000 2.9448 2.9448 2.9448 0.0000" Properties=species:S:1:pos:R:3 pbc="T T T"
Zn 0.0000 0.0000 0.0000
Zn 1.4724 1.4724 1.4724
Co 4.4173 4.4173 4.4173
Re 2.9448 2.9448 2.9448
```

Results
* calculated density: 12.2 Mg/m³
* energy of formation: 0.284 eV per atom

---

Here is crystalline HfWSe2N at its relaxed geometry from Alexandria. Energies are from GGA-PBEsol.

```
5
Lattice="4.9962 0.0000 0.0000 0.0000 4.9962 0.0000 0.0000 0.0000 3.7337" Properties=species:S:1:pos:R:3 pbc="T T T"
Hf 0.0000 0.0000 0.0000
W 2.4981 2.4981 1.8669
Se 0.0000 2.4981 1.8669
Se 2.4981 0.0000 1.8669
N 2.4981 2.4981 0.0000
```

Results
* energy relative to the elements, uncorrected: 108 meV per atom
* calculated density: 9.5 Mg/m³

---

Here is crystalline Tb2Nb2S7O30 at its relaxed geometry from Alexandria. Energies are from GGA-PBEsol.

```
82
Lattice="12.7219 0.0000 0.0000 0.0000 12.7219 0.0000 0.0000 0.0000 7.0366" Properties=species:S:1:pos:R:3 pbc="T T T"
Tb 2.4995 3.8615 0.6596
Tb 3.8615 10.2224 6.3770
Tb 8.8604 2.4995 6.3770
Tb 10.2224 8.8604 0.6596
Nb 1.7712 8.1322 3.6592
Nb 4.5897 1.7712 3.3774
Nb 8.1322 10.9506 3.3774
Nb 10.9506 4.5897 3.6592
S 0.0000 6.3609 1.0858
S 0.8345 10.4702 1.3737
S 1.5714 4.7895 4.2849
S 2.2516 0.8345 5.6629
S 4.1093 7.1954 1.3737
S 4.7895 11.1504 2.7517
S 5.5265 4.1093 5.6629
S 6.3609 0.0000 5.9508
S 7.1954 8.6126 5.6629
S 7.9324 1.5714 2.7517
S 8.6126 5.5265 1.3737
S 10.4702 11.8874 5.6629
S 11.1504 7.9324 4.2849
S 11.8874 2.2516 1.3737
O 0.1012 4.5434 4.4746
O 0.5420 2.6980 1.1672
O 0.8091 0.9565 5.4890
O 0.8501 7.2110 1.9552
O 0.8607 5.5002 0.2673
O 0.9565 11.9128 1.5475
O 1.3495 9.8120 2.6617
O 1.7067 10.0227 0.2801
O 1.8175 6.2598 4.4746
O 1.9732 4.3877 2.9526
O 2.2679 4.0930 5.3563
O 2.5937 8.9546 4.9941
O 2.6991 1.7067 6.7565
O 2.6980 12.1799 5.8694
O 2.9099 1.3495 4.3748
O 3.4511 7.7105 2.6617
O 3.6629 5.8189 1.1672
O 3.6618 8.0677 0.2801
O 3.7672 2.5937 2.0425
O 4.0930 10.4539 1.6803
O 4.3877 10.7487 4.0840
O 4.5434 12.6207 2.5619
O 4.6542 3.6618 6.7565
O 5.0114 3.4511 4.3748
O 5.4044 5.5519 5.4890
O 5.5002 11.8612 6.7693
O 5.5108 0.8501 5.0814
O 5.5519 7.3174 1.5475
O 5.8189 9.0589 5.8694
O 6.2598 10.9043 2.5619
O 6.4621 1.8175 2.5619
O 6.9029 3.6629 5.8694
O 7.1700 5.4044 1.5475
O 7.2110 11.8718 5.0814
O 7.2216 0.8607 6.7693
O 7.3174 7.1700 5.4890
O 7.7105 9.2708 4.3748
O 8.0677 9.0601 6.7565
O 8.1785 0.1012 2.5619
O 8.3341 1.9732 4.0840
O 8.6289 2.2679 1.6803
O 8.9546 10.1282 2.0425
O 9.0601 4.6542 0.2801
O 9.0589 6.9029 1.1672
O 9.2708 5.0114 2.6617
O 9.8120 11.3723 4.3748
O 10.0239 0.5420 5.8694
O 10.0227 11.0151 6.7565
O 10.1282 3.7672 4.9941
O 10.4539 8.6289 5.3563
O 10.7487 8.3341 2.9526
O 10.9043 6.4621 4.4746
O 11.0151 2.6991 0.2801
O 11.3723 2.9099 2.6617
O 11.7654 0.8091 1.5475
O 11.8612 7.2216 0.2673
O 11.8718 5.5108 1.9552
O 11.9128 11.7654 5.4890
O 12.1799 10.0239 1.1672
O 12.6207 8.1785 4.4746
```

Results
* energy relative to the elements, uncorrected: -1792 meV per atom
* calculated density: 3.5 Mg/m³

---

Here is crystalline BaTcHg at its relaxed geometry from Alexandria. Energies are from GGA-PBEsol.

```
3
Lattice="-1.8328 1.8328 5.6546 1.8328 -1.8328 5.6546 1.8328 1.8328 -5.6546" Properties=species:S:1:pos:R:3 pbc="T T T"
Ba 0.0000 0.0000 0.0000
Tc 0.0000 0.0000 3.2361
Hg 0.0000 0.0000 8.0792
```

Results
* calculated density: 9.5 Mg/m³
* energy of formation: 0.618 eV per atom

---

Here is crystalline YSc2AlGe at its relaxed geometry from Alexandria. Energies are from GGA-PBEsol.

```
5
Lattice="5.0985 0.0000 0.0000 0.0000 5.0985 0.0000 0.0000 0.0000 5.2238" Properties=species:S:1:pos:R:3 pbc="T T T"
Y 0.0000 0.0000 0.0000
Sc 0.0000 2.5493 0.0000
Sc 2.5493 0.0000 0.0000
Al 2.5493 2.5493 2.6119
Ge 0.0000 0.0000 2.6119
```

Results
* calculated density: 3.4 Mg/m³
* energy of formation: 0.977 eV per atom

---

Here is crystalline ZnFeTe at its relaxed geometry from Alexandria. Energies are from GGA-PBEsol.

```
3
Lattice="0.0000 3.0634 3.0634 3.0634 0.0000 3.0634 3.0634 3.0634 0.0000" Properties=species:S:1:pos:R:3 pbc="T T T"
Zn 0.0000 0.0000 0.0000
Fe 3.0634 3.0634 3.0634
Te 4.5951 4.5951 4.5951
```

Results
* energy relative to the elements, uncorrected: 552 meV per atom
* calculated density: 7.2 Mg/m³

---

Here is crystalline CsBr2Cl at its relaxed geometry from Alexandria. Energies are from GGA-PBEsol.

```
4
Lattice="0.0000 4.0116 4.0116 4.0116 0.0000 4.0116 4.0116 4.0116 0.0000" Properties=species:S:1:pos:R:3 pbc="T T T"
Cs 0.0000 0.0000 0.0000
Br 2.0058 2.0058 2.0058
Br 6.0173 6.0173 6.0173
Cl 4.0116 4.0116 4.0116
```

Results
* energy relative to the elements, uncorrected: -485 meV per atom
* calculated density: 4.2 Mg/m³

---

Here is crystalline Sr2MnIr at its relaxed geometry from Alexandria. Energies are from GGA-PBEsol.

```
4
Lattice="3.4303 -3.4365 0.0000 3.4303 3.4365 0.0000 0.0000 0.0000 4.0685" Properties=species:S:1:pos:R:3 pbc="T T T"
Sr 1.7151 1.7182 0.0000
Sr 1.7151 -1.7182 0.0000
Mn 0.0000 0.0000 2.0342
Ir 3.4303 0.0000 2.0342
```

Results
* calculated density: 7.3 Mg/m³
* energy of formation: 0.521 eV per atom

---

Here is crystalline Ta2CoAs at its relaxed geometry from Alexandria. Energies are from GGA-PBEsol.

```
8
Lattice="-3.4026 3.4026 2.7503 3.4026 -3.4026 2.7503 3.4026 3.4026 -2.7503" Properties=species:S:1:pos:R:3 pbc="T T T"
Ta 1.7013 1.5593 -0.6876
Ta 1.8433 -1.7013 3.4378
Ta 1.7013 1.8433 2.0627
Ta 1.5593 5.1039 0.6876
Co 0.0000 0.0000 0.0000
Co 0.0000 3.4026 1.3751
As 3.4026 0.0000 1.3751
As 0.0000 0.0000 2.7503
```

Results
* calculated density: 12.9 Mg/m³
* energy of formation: 0.115 eV per atom

---

Here is crystalline TlCd2Pd2 at its relaxed geometry from Alexandria. Energies are from GGA-PBEsol.

```
10
Lattice="7.3076 0.0000 0.0000 0.0000 7.3076 0.0000 0.0000 0.0000 3.5025" Properties=species:S:1:pos:R:3 pbc="T T T"
Tl 0.0000 0.0000 0.0000
Tl 3.6538 3.6538 0.0000
Cd 1.1024 2.5514 1.7513
Cd 2.5514 6.2052 1.7513
Cd 4.7562 1.1024 1.7513
Cd 6.2052 4.7562 1.7513
Pd 1.0564 4.7102 0.0000
Pd 2.5974 1.0564 0.0000
Pd 4.7102 6.2512 0.0000
Pd 6.2512 2.5974 0.0000
```

Results
* calculated density: 11.4 Mg/m³
* energy of formation: -0.258 eV per atom

---

Here is crystalline CrCd2W at its relaxed geometry from Alexandria. Energies are from GGA-PBEsol.

```
4
Lattice="-1.6154 2.1420 4.6886 1.6154 -2.1420 4.6886 1.6154 2.1420 -4.6886" Properties=species:S:1:pos:R:3 pbc="T T T"
Cr 0.0000 0.0000 0.0000
Cd 1.6154 0.0000 2.2544
Cd 0.0000 2.1420 2.4343
W 0.0000 0.0000 4.6886
```

Results
* calculated density: 11.8 Mg/m³
* energy of formation: 0.665 eV per atom